(1)
# GeAu (PBE, relaxed)
data_GeAu
_chemical_formula_sum 'Ge8 Au8'
_cell_length_a 7.9995
_cell_length_b 7.9995
_cell_length_c 5.2430
_cell_angle_alpha 90.00
_cell_angle_beta 90.00
_cell_angle_gamma 90.00
_space_group_name_H-M_alt 'I 4/m'
_space_group_IT_number 87
_space_group_name_Hall '-I 4'
loop_
_atom_site_label
_atom_site_type_symbol
_atom_site_fract_x
_atom_site_fract_y
_atom_site_fract_z
Ge1 Ge 0.0587 0.3055 0.0000
Au1 Au 0.0692 0.2415 0.5000
# DFT total energy in eV per cell: -61.43
# Formation energy from the elements in eV per atom: 0.1082

(2)
# Ge3Au2 (PBE, relaxed)
data_Ge3Au2
_chemical_formula_sum 'Ge18 Au12'
_cell_length_a 6.9294
_cell_length_b 6.9294
_cell_length_c 15.4545
_cell_angle_alpha 90.00
_cell_angle_beta 90.00
_cell_angle_gamma 120.00
_space_group_name_H-M_alt 'R -3 c'
_space_group_IT_number 167
_space_group_name_Hall '-R 3 2"c'
loop_
_atom_site_label
_atom_site_type_symbol
_atom_site_fract_x
_atom_site_fract_y
_atom_site_fract_z
Ge1 Ge 0.0000 0.3215 0.2500
Au1 Au 0.0000 0.0000 0.1496
# DFT total energy in eV per cell: -118.70
# Formation energy from the elements in eV per atom: 0.1246

(3)
# GeAu (PBE, relaxed)
data_GeAu
_chemical_formula_sum 'Ge8 Au8'
_cell_length_a 10.4881
_cell_length_b 10.4881
_cell_length_c 4.0673
_cell_angle_alpha 90.00
_cell_angle_beta 90.00
_cell_angle_gamma 90.00
_space_group_name_H-M_alt 'I 4/m'
_space_group_IT_number 87
_space_group_name_Hall '-I 4'
loop_
_atom_site_label
_atom_site_type_symbol
_atom_site_fract_x
_atom_site_fract_y
_atom_site_fract_z
Ge1 Ge 0.1686 0.7004 0.0000
Au1 Au 0.0663 0.2608 0.0000
# DFT total energy in eV per cell: -60.51
# Formation energy from the elements in eV per atom: 0.1653

(4)
# GeAu (PBE, relaxed)
data_GeAu
_chemical_formula_sum 'Ge16 Au16'
_cell_length_a 7.0037
_cell_length_b 8.2049
_cell_length_c 10.9518
_cell_angle_alpha 90.00
_cell_angle_beta 90.00
_cell_angle_gamma 90.00
_space_group_name_H-M_alt 'F d d d'
_space_group_IT_number 70
loop_
_space_group_symop_operation_xyz
'x,y,z'
'-x,-y,-z'
'-x+1/4,-y+1/4,z'
'x+1/4,y+1/4,-z'
'x,-y+1/4,-z+1/4'
'-x,y+1/4,z+1/4'
'-x+1/4,y,-z+1/4'
'x+1/4,-y,z+1/4'
'x,y+1/2,z+1/2'
'-x,-y+1/2,-z+1/2'
'-x+1/4,-y+3/4,z+1/2'
'x+1/4,y+3/4,-z+1/2'
'x,-y+3/4,-z+3/4'
'-x,y+3/4,z+3/4'
'-x+1/4,y+1/2,-z+3/4'
'x+1/4,-y+1/2,z+3/4'
'x+1/2,y,z+1/2'
'-x+1/2,-y,-z+1/2'
'-x+3/4,-y+1/4,z+1/2'
'x+3/4,y+1/4,-z+1/2'
'x+1/2,-y+1/4,-z+3/4'
'-x+1/2,y+1/4,z+3/4'
'-x+3/4,y,-z+3/4'
'x+3/4,-y,z+3/4'
'x+1/2,y+1/2,z'
'-x+1/2,-y+1/2,-z'
'-x+3/4,-y+3/4,z'
'x+3/4,y+3/4,-z'
'x+1/2,-y+3/4,-z+1/4'
'-x+1/2,y+3/4,z+1/4'
'-x+3/4,y+1/2,-z+1/4'
'x+3/4,-y+1/2,z+1/4'
loop_
_atom_site_label
_atom_site_type_symbol
_atom_site_fract_x
_atom_site_fract_y
_atom_site_fract_z
Ge1 Ge 0.1250 0.3382 0.1250
Au1 Au 0.0853 0.3750 0.8750
# DFT total energy in eV per cell: -124.33
# Formation energy from the elements in eV per atom: 0.0621

(5)
# GeAu (PBE, relaxed)
data_GeAu
_chemical_formula_sum 'Ge8 Au8'
_cell_length_a 7.9363
_cell_length_b 7.9363
_cell_length_c 7.9363
_cell_angle_alpha 90.00
_cell_angle_beta 90.00
_cell_angle_gamma 90.00
_space_group_name_H-M_alt 'I -4 3 m'
_space_group_IT_number 217
_space_group_name_Hall 'I -4 2 3'
loop_
_atom_site_label
_atom_site_type_symbol
_atom_site_fract_x
_atom_site_fract_y
_atom_site_fract_z
Ge1 Ge 0.1458 0.1458 0.1458
Au1 Au 0.1740 0.1740 0.8260
# DFT total energy in eV per cell: -59.32
# Formation energy from the elements in eV per atom: 0.2396

(6)
# GeAu (PBE, relaxed)
data_GeAu
_chemical_formula_sum 'Ge6 Au6'
_cell_length_a 11.3796
_cell_length_b 5.5411
_cell_length_c 3.9364
_cell_angle_alpha 90.00
_cell_angle_beta 90.00
_cell_angle_gamma 90.00
_space_group_name_H-M_alt 'P m n 21'
_space_group_IT_number 31
loop_
_space_group_symop_operation_xyz
'x,y,z'
'-x+1/2,-y,z+1/2'
'-x,y,z'
'x+1/2,-y,z+1/2'
loop_
_atom_site_label
_atom_site_type_symbol
_atom_site_fract_x
_atom_site_fract_y
_atom_site_fract_z
Ge1 Ge 0.0000 0.2106 0.0000
Ge2 Ge 0.2234 0.6264 0.1607
Au1 Au 0.0000 0.6713 0.1592
Au2 Au 0.1403 0.0278 0.5152
# DFT total energy in eV per cell: -46.66
# Formation energy from the elements in eV per atom: 0.0588

(7)
# GeAu (PBE, relaxed)
data_GeAu
_chemical_formula_sum 'Ge2 Au2'
_cell_length_a 2.9063
_cell_length_b 3.5841
_cell_length_c 7.5160
_cell_angle_alpha 90.00
_cell_angle_beta 101.22
_cell_angle_gamma 90.00
_space_group_name_H-M_alt 'P 1 21/m 1'
_space_group_IT_number 11
loop_
_space_group_symop_operation_xyz
'x,y,z'
'-x,-y,-z'
'-x,y+1/2,-z'
'x,-y+1/2,z'
loop_
_atom_site_label
_atom_site_type_symbol
_atom_site_fract_x
_atom_site_fract_y
_atom_site_fract_z
Ge1 Ge 0.0669 0.2500 0.1555
Au1 Au 0.3242 0.2500 0.6345
# DFT total energy in eV per cell: -15.35
# Formation energy from the elements in eV per atom: 0.1109

(8)
# Ge3Au (PBE, relaxed)
data_Ge3Au
_chemical_formula_sum 'Ge6 Au2'
_cell_length_a 4.3418
_cell_length_b 4.3418
_cell_length_c 8.1045
_cell_angle_alpha 90.00
_cell_angle_beta 90.00
_cell_angle_gamma 90.00
_space_group_name_H-M_alt 'I 4/m m m'
_space_group_IT_number 139
_space_group_name_Hall '-I 4 2'
loop_
_atom_site_label
_atom_site_type_symbol
_atom_site_fract_x
_atom_site_fract_y
_atom_site_fract_z
Ge1 Ge 0.0000 0.0000 0.0000
Ge2 Ge 0.0000 0.5000 0.2500
Au1 Au 0.0000 0.0000 0.5000
# DFT total energy in eV per cell: -32.42
# Formation energy from the elements in eV per atom: 0.2301

- What is the DFT total energy in the seventh record?
  -15.35 eV per cell